1.
KOsW2: optimized geometry, PBE.

Cell: 2.8172 2.8172 9.8659 Å, 90.00 90.00 90.00°
Fractional coordinates of all 4 atoms:
K 0.0000 0.0000 0.0000
Os 0.5000 0.5000 0.2874
W 0.0000 0.0000 0.4649
W 0.5000 0.5000 0.6778

Properties
**Formation energy from the elements**: 909 meV/atom
**Total DFT energy (no corrections)**: -8.649 eV/atom
**Size of the total moment**: 0.000 μB per formula unit
**ΔE to the lowest computed polymorph**: 86 meV per atom
**Crystal system**: tetragonal
**Symmetry**: No. 99

2.
KOsW2: optimized geometry, PBE.

Cell: 9.3329 9.3329 9.3329 Å, 148.34 148.34 45.38°
Fractional coordinates of all 8 atoms:
K 0.0000 0.0000 0.0000
K 0.7500 0.2500 0.5000
Os 0.2500 0.7500 0.5000
Os 0.5000 0.5000 0.0000
W 0.3496 0.6250 0.2246
W 0.3750 0.5996 0.7246
W 0.4004 0.1250 0.7754
W 0.8750 0.6504 0.2754

Properties
**Formation energy from the elements**: 1906 meV/atom
**Total DFT energy (no corrections)**: -7.653 eV/atom
**Size of the total moment**: 0.000 μB per formula unit
**ΔE to the lowest computed polymorph**: 1083 meV per atom
**Crystal system**: tetragonal
**Symmetry**: No. 122

3.
KOsW2: optimized geometry, PBE.

Cell: 2.7829 3.9393 8.3057 Å, 90.00 90.00 90.00°
Fractional coordinates of all 4 atoms:
K 0.0000 0.0000 0.0000
Os 0.0000 0.0000 0.5000
W 0.5000 0.5000 0.3503
W 0.5000 0.5000 0.6497

Properties
**Formation energy from the elements**: 901 meV/atom
**Total DFT energy (no corrections)**: -8.658 eV/atom
**Size of the total moment**: 0.000 μB per formula unit
**ΔE to the lowest computed polymorph**: 78 meV per atom
**Crystal system**: orthorhombic
**Symmetry**: No. 47

4.
KOsW2: optimized geometry, PBE.

Cell: 6.3036 6.3036 6.3036 Å, 155.68 129.60 56.72°
Fractional coordinates of all 4 atoms:
K 0.0000 0.0000 0.0000
Os 0.5000 0.5000 0.0000
W 0.2928 0.7928 0.5000
W 0.7072 0.2072 0.5000

Properties
**Formation energy from the elements**: 1229 meV/atom
**Total DFT energy (no corrections)**: -8.329 eV/atom
**Size of the total moment**: 0.000 μB per formula unit
**ΔE to the lowest computed polymorph**: 406 meV per atom
**Crystal system**: orthorhombic
**Symmetry**: No. 71

5.
KOsW2: optimized geometry, PBE.

Cell: 4.9712 4.9712 7.0138 Å, 98.20 98.20 34.46°
Fractional coordinates of all 4 atoms:
K 0.0000 0.0000 0.0000
Os 0.2216 0.2216 0.6374
W 0.5042 0.5042 0.5161
W 0.7908 0.7908 0.3721

Properties
**Formation energy from the elements**: 1137 meV/atom
**Total DFT energy (no corrections)**: -8.422 eV/atom
**Size of the total moment**: 0.000 μB per formula unit
**ΔE to the lowest computed polymorph**: 314 meV per atom
**Crystal system**: monoclinic
**Symmetry**: No. 8

6.
KOsW2: optimized geometry, PBE.

Cell: 2.7755 2.7755 10.3768 Å, 90.00 90.00 111.09°
Fractional coordinates of all 4 atoms:
K 0.0000 0.0000 0.0000
Os 0.5000 0.5000 0.2779
W 0.0000 0.0000 0.4826
W 0.5000 0.5000 0.6937

Properties
**Formation energy from the elements**: 823 meV/atom
**Total DFT energy (no corrections)**: -8.735 eV/atom
**Size of the total moment**: 0.000 μB per formula unit
**ΔE to the lowest computed polymorph**: 0 meV per atom
**Crystal system**: orthorhombic
**Symmetry**: No. 35